# 1
# Ta2Co3Si | the Alexandria database | GGA-PBEsol | relaxed
# * E_tot: -9.5731 eV per atom
# * raw formation energy: -0.563 eV/atom
# * calculated volume: 148 Å³/cell
# * mass density: 12.69 g/cm³
# * M_tot: 0.00 μB per cell
data_Ta2Co3Si
_cell_length_a 4.7921
_cell_length_b 4.7921
_cell_length_c 7.4573
_cell_angle_alpha 90.00
_cell_angle_beta 90.00
_cell_angle_gamma 120.00
_space_group_name_H-M_alt 'P 63/m m c'
_space_group_IT_number 194
_space_group_name_Hall '-P 6c 2c'
loop_
_atom_site_label
_atom_site_type_symbol
_atom_site_fract_x
_atom_site_fract_y
_atom_site_fract_z
_atom_site_occupancy
Ta1 Ta 0.3333 0.6667 0.0595 1
Co1 Co 0.1695 0.3390 0.7500 1
Si1 Si 0.0000 0.0000 0.0000 1

# 2
# CrCuSb2 | the Alexandria database | GGA-PBEsol | relaxed
# * E_tot: -5.5767 eV per atom
# * raw formation energy: 0.346 eV/atom
# * calculated volume: 72 Å³/cell
# * mass density: 8.29 g/cm³
# * M_tot: 2.45 μB per cell
data_CrCuSb2
_cell_length_a 3.448
_cell_length_b 3.445
_cell_length_c 6.060
_cell_angle_alpha 90.00
_cell_angle_beta 90.89
_cell_angle_gamma 90.00
_space_group_name_H-M_alt 'P 1 2/m 1'
_space_group_IT_number 10
_space_group_name_Hall '-P 2y'
loop_
_atom_site_label
_atom_site_type_symbol
_atom_site_fract_x
_atom_site_fract_y
_atom_site_fract_z
_atom_site_occupancy
Cr1 Cr 0.000 0.000 0.000 1
Cu1 Cu 0.000 0.000 0.500 1
Sb1 Sb 0.495 0.500 0.755 1

# 3
# TlCo2P | the Alexandria database | GGA-PBEsol | relaxed
# * E_tot: -5.8209 eV per atom
# * DFT formation energy: 153 meV per atom
# * calculated volume: 115 Å³/cell
# * mass density: 10.20 g/cm³
# * M_tot: 0.00 μB per cell
data_TlCo2P
_cell_length_a 3.288
_cell_length_b 5.046
_cell_length_c 6.928
_cell_angle_alpha 90.00
_cell_angle_beta 90.00
_cell_angle_gamma 90.00
_space_group_name_H-M_alt 'I m m m'
_space_group_IT_number 71
_space_group_name_Hall '-I 2 2'
loop_
_atom_site_label
_atom_site_type_symbol
_atom_site_fract_x
_atom_site_fract_y
_atom_site_fract_z
_atom_site_occupancy
Tl1 Tl 0.000 0.000 0.000 1
Co1 Co 0.000 0.500 0.189 1
P1 P 0.000 0.000 0.500 1

# 4
# Mg2CoTe | the Alexandria database | GGA-PBEsol | relaxed
# * E_tot: -3.6154 eV per atom
# * raw formation energy: 0.059 eV/atom
# * calculated volume: 144 Å³/cell
# * mass density: 5.43 g/cm³
# * M_tot: 1.56 μB per cell
data_Mg2CoTe
_cell_length_a 6.099
_cell_length_b 6.123
_cell_length_c 3.850
_cell_angle_alpha 90.00
_cell_angle_beta 90.00
_cell_angle_gamma 90.00
_space_group_name_H-M_alt 'C m m m'
_space_group_IT_number 65
_space_group_name_Hall '-C 2 2'
loop_
_atom_site_label
_atom_site_type_symbol
_atom_site_fract_x
_atom_site_fract_y
_atom_site_fract_z
_atom_site_occupancy
Mg1 Mg 0.250 0.250 0.000 1
Co1 Co 0.000 0.000 0.500 1
Te1 Te 0.000 0.500 0.500 1

Q: M_tot of number 3 (TlCo2P)?
A: 0.00 μB per cell